No. 1
Compound: Li2Hg2Pd
Source: Alexandria
Functional: PBE
Structure: optimized geometry

Cell: 4.069 5.038 5.089 Å, 80.93 66.43 66.18°
Positions (direct):
Hg: 0.583 0.624 0.211
Hg: 0.417 0.376 0.789
Li: 0.212 0.197 0.380
Li: 0.788 0.803 0.620
Pd: 0.000 0.000 0.000

Summary:
- Total DFT energy (no corrections): -2.288 eV per atom
- Total magnetic moment: 0.0 μB/f.u.
- Crystal system: monoclinic
- Space group: C2/m
- Relative energy among the computed polymorphs: 0 meV per atom
- Density of states at the Fermi level: 1.5 states/eV/cell

No. 2
Compound: Tm2TiRh
Source: Alexandria
Functional: PBE
Structure: optimized geometry

Cell: 3.394 3.394 7.411 Å, 90.00 90.00 90.00°
Positions (direct):
Rh: 0.500 0.500 0.000
Tm: 0.000 0.000 0.223
Tm: 0.000 0.000 0.777
Ti: 0.500 0.500 0.500

Summary:
- Total DFT energy (no corrections): -6.376 eV per atom
- Total magnetic moment: 0.0 μB/f.u.
- Crystal system: tetragonal
- Space group: P4/mmm
- Density of states at the Fermi level: 5.1 states/eV/cell

No. 3
Compound: CaPrErMg
Source: Alexandria
Functional: PBE
Structure: optimized geometry

Cell: 5.641 5.641 5.641 Å, 60.00 60.00 60.00°
Positions (direct):
Ca: 0.500 0.500 0.500
Mg: 0.000 0.000 0.000
Pr: 0.250 0.250 0.250
Er: 0.750 0.750 0.750

Summary:
- Total DFT energy (no corrections): -3.171 eV per atom
- Total magnetic moment: 0.0 μB/f.u.
- Crystal system: cubic
- Space group: F-43m
- Relative energy among the computed polymorphs: 78 meV per atom
- Density of states at the Fermi level: 5.0 states/eV/cell